! Er2V2C3 PBE-GGA optimized geometry; values from VASP
! Energy of formation from the pure elements = -0.44 eV/atom
! DFT total energy = -0.3051 hartree per atom
&SYSTEM
  ibrav = 0, nat = 7, ntyp = 3
/
ATOMIC_SPECIES
Er 167.26 Er.upf
V 50.94 V.upf
C 12.01 C.upf
ATOMIC_POSITIONS crystal
Er 0.607 0.827 0.214
Er 0.393 0.173 0.786
V 0.843 0.672 0.686
V 0.157 0.328 0.314
C 0.000 0.000 0.000
C 0.750 0.277 0.500
C 0.250 0.723 0.500
CELL_PARAMETERS angstrom
3.170 0.000 -0.902
-0.553 5.193 -1.942
-0.024 -0.068 5.937